[1]
DFT (GGA-PBE) results for an optimized crystal structure of La2BeRu.

Computed properties:
* calculated density: 6.59 g/cm³
* formation enthalpy at 0 K: -150 meV/atom
* volume: 195 Å³ per cell
* crystal system: orthorhombic

CIF file:
```
data_La2BeRu
_symmetry_space_group_name_H-M 'A m m 2'
_symmetry_Int_Tables_number 38
_cell_length_a 4.035
_cell_length_b 4.172
_cell_length_c 11.615
_cell_angle_alpha 90.00
_cell_angle_beta 90.00
_cell_angle_gamma 90.00
loop_
_symmetry_equiv_pos_as_xyz
'x,y,z'
'-x,-y,z'
'-x,y,z'
'x,-y,z'
'x,y+1/2,z+1/2'
'-x,-y+1/2,z+1/2'
'-x,y+1/2,z+1/2'
'x,-y+1/2,z+1/2'
loop_
_atom_site_label
_atom_site_type_symbol
_atom_site_fract_x
_atom_site_fract_y
_atom_site_fract_z
La1 La 0.000 0.000 0.000
La2 La 0.500 0.000 0.271
Be1 Be 0.500 0.000 0.587
Ru1 Ru 0.000 0.000 0.686
```



[2]
DFT (GGA-PBE) results for an optimized crystal structure of LaBeRu2.

Computed properties:
* calculated density: 8.41 g/cm³
* formation enthalpy at 0 K: 151 meV/atom
* volume: 69 Å³ per cell
* crystal system: orthorhombic

CIF file:
```
data_LaBeRu2
_symmetry_space_group_name_H-M 'P m m 2'
_symmetry_Int_Tables_number 25
_cell_length_a 2.902
_cell_length_b 3.528
_cell_length_c 6.753
_cell_angle_alpha 90.00
_cell_angle_beta 90.00
_cell_angle_gamma 90.00
loop_
_symmetry_equiv_pos_as_xyz
'x,y,z'
'-x,-y,z'
'-x,y,z'
'x,-y,z'
loop_
_atom_site_label
_atom_site_type_symbol
_atom_site_fract_x
_atom_site_fract_y
_atom_site_fract_z
La1 La 0.000 0.000 0.000
Be1 Be 0.500 0.500 0.676
Ru1 Ru 0.000 0.000 0.518
Ru2 Ru 0.500 0.500 0.336
```



[3]
DFT (GGA-PBE) results for an optimized crystal structure of La2BeRu.

Computed properties:
* calculated density: 6.83 g/cm³
* formation enthalpy at 0 K: -67 meV/atom
* volume: 189 Å³ per cell
* crystal system: orthorhombic

CIF file:
```
data_La2BeRu
_symmetry_space_group_name_H-M 'I m m 2'
_symmetry_Int_Tables_number 44
_cell_length_a 3.709
_cell_length_b 4.337
_cell_length_c 11.720
_cell_angle_alpha 90.00
_cell_angle_beta 90.00
_cell_angle_gamma 90.00
loop_
_symmetry_equiv_pos_as_xyz
'x,y,z'
'-x,-y,z'
'-x,y,z'
'x,-y,z'
'x+1/2,y+1/2,z+1/2'
'-x+1/2,-y+1/2,z+1/2'
'-x+1/2,y+1/2,z+1/2'
'x+1/2,-y+1/2,z+1/2'
loop_
_atom_site_label
_atom_site_type_symbol
_atom_site_fract_x
_atom_site_fract_y
_atom_site_fract_z
La1 La 0.000 0.000 0.000
La2 La 0.000 0.500 0.228
Be1 Be 0.000 0.500 0.820
Ru1 Ru 0.000 0.000 0.432
```



[4]
DFT (GGA-PBE) results for an optimized crystal structure of LaBeRu2.

Computed properties:
* calculated density: 8.68 g/cm³
* formation enthalpy at 0 K: 150 meV/atom
* volume: 67 Å³ per cell
* crystal system: monoclinic

CIF file:
```
data_LaBeRu2
_symmetry_space_group_name_H-M 'P 1 2/m 1'
_symmetry_Int_Tables_number 10
_cell_length_a 2.971
_cell_length_b 3.742
_cell_length_c 6.046
_cell_angle_alpha 90.00
_cell_angle_beta 94.64
_cell_angle_gamma 90.00
loop_
_symmetry_equiv_pos_as_xyz
'x,y,z'
'-x,-y,-z'
'-x,y,-z'
'x,-y,z'
loop_
_atom_site_label
_atom_site_type_symbol
_atom_site_fract_x
_atom_site_fract_y
_atom_site_fract_z
La1 La 0.000 0.000 0.000
Be1 Be 0.500 0.000 0.500
Ru1 Ru 0.257 0.500 0.681
```



[5]
DFT (GGA-PBE) results for an optimized crystal structure of LaBe2Ru2.

Computed properties:
* calculated density: 8.00 g/cm³
* formation enthalpy at 0 K: -10 meV/atom
* volume: 149 Å³ per cell
* crystal system: tetragonal
* energy relative to the lowest polymorph listed for this composition: 0.1044 eV per atom

CIF file:
```
data_LaBe2Ru2
_symmetry_space_group_name_H-M 'P 4/m b m'
_symmetry_Int_Tables_number 127
_symmetry_space_group_name_Hall '-P 4 2ab'
_cell_length_a 6.909
_cell_length_b 6.909
_cell_length_c 3.122
_cell_angle_alpha 90.00
_cell_angle_beta 90.00
_cell_angle_gamma 90.00
loop_
_atom_site_label
_atom_site_type_symbol
_atom_site_fract_x
_atom_site_fract_y
_atom_site_fract_z
La1 La 0.000 0.000 0.000
Be1 Be 0.108 0.392 0.000
Ru1 Ru 0.154 0.654 0.500
```



[6]
DFT (GGA-PBE) results for an optimized crystal structure of LaBeRu2.

Computed properties:
* calculated density: 8.50 g/cm³
* formation enthalpy at 0 K: 420 meV/atom
* volume: 274 Å³ per cell
* crystal system: cubic

CIF file:
```
data_LaBeRu2
_symmetry_space_group_name_H-M 'F -4 3 m'
_symmetry_Int_Tables_number 216
_symmetry_space_group_name_Hall 'F -4 2 3'
_cell_length_a 6.492
_cell_length_b 6.492
_cell_length_c 6.492
_cell_angle_alpha 90.00
_cell_angle_beta 90.00
_cell_angle_gamma 90.00
loop_
_atom_site_label
_atom_site_type_symbol
_atom_site_fract_x
_atom_site_fract_y
_atom_site_fract_z
La1 La 0.000 0.000 0.000
Be1 Be 0.250 0.250 0.250
Ru1 Ru 0.000 0.000 0.500
Ru2 Ru 0.250 0.250 0.750
```



[7]
DFT (GGA-PBE) results for an optimized crystal structure of LaBe2Ru.

Computed properties:
* calculated density: 6.36 g/cm³
* formation enthalpy at 0 K: 481 meV/atom
* volume: 67 Å³ per cell
* crystal system: tetragonal
* energy relative to the lowest polymorph listed for this composition: 0.6704 eV per atom

CIF file:
```
data_LaBe2Ru
_symmetry_space_group_name_H-M 'P 4/m m m'
_symmetry_Int_Tables_number 123
_symmetry_space_group_name_Hall '-P 4 2'
_cell_length_a 3.834
_cell_length_b 3.834
_cell_length_c 4.579
_cell_angle_alpha 90.00
_cell_angle_beta 90.00
_cell_angle_gamma 90.00
loop_
_atom_site_label
_atom_site_type_symbol
_atom_site_fract_x
_atom_site_fract_y
_atom_site_fract_z
La1 La 0.000 0.000 0.000
Be1 Be 0.000 0.500 0.500
Ru1 Ru 0.500 0.500 0.000
```



[8]
DFT (GGA-PBE) results for an optimized crystal structure of LaBe2Ru.

Computed properties:
* calculated density: 6.64 g/cm³
* formation enthalpy at 0 K: -40 meV/atom
* volume: 64 Å³ per cell
* crystal system: monoclinic
* energy relative to the lowest polymorph listed for this composition: 0.1500 eV per atom

CIF file:
```
data_LaBe2Ru
_symmetry_space_group_name_H-M 'P 1 m 1'
_symmetry_Int_Tables_number 6
_cell_length_a 3.146
_cell_length_b 3.474
_cell_length_c 6.105
_cell_angle_alpha 90.00
_cell_angle_beta 104.83
_cell_angle_gamma 90.00
loop_
_symmetry_equiv_pos_as_xyz
'x,y,z'
'x,-y,z'
loop_
_atom_site_label
_atom_site_type_symbol
_atom_site_fract_x
_atom_site_fract_y
_atom_site_fract_z
La1 La 0.000 0.000 0.000
Be1 Be 0.247 0.000 0.491
Be2 Be 0.344 0.500 0.685
Ru1 Ru 0.709 0.500 0.414
```



[9]
DFT (GGA-PBE) results for an optimized crystal structure of La2BeRu.

Computed properties:
* calculated density: 6.99 g/cm³
* formation enthalpy at 0 K: -63 meV/atom
* volume: 92 Å³ per cell
* crystal system: tetragonal

CIF file:
```
data_La2BeRu
_symmetry_space_group_name_H-M 'P 4 m m'
_symmetry_Int_Tables_number 99
_cell_length_a 3.324
_cell_length_b 3.324
_cell_length_c 8.341
_cell_angle_alpha 90.00
_cell_angle_beta 90.00
_cell_angle_gamma 90.00
loop_
_symmetry_equiv_pos_as_xyz
'x,y,z'
'-y,x,z'
'-x,-y,z'
'y,-x,z'
'-x,y,z'
'y,x,z'
'x,-y,z'
'-y,-x,z'
loop_
_atom_site_label
_atom_site_type_symbol
_atom_site_fract_x
_atom_site_fract_y
_atom_site_fract_z
La1 La 0.000 0.000 0.000
La2 La 0.500 0.500 0.418
Be1 Be 0.500 0.500 0.762
Ru1 Ru 0.000 0.000 0.695
```



[10]
DFT (GGA-PBE) results for an optimized crystal structure of LaBe3Ru.

Computed properties:
* calculated density: 5.36 g/cm³
* formation enthalpy at 0 K: -99 meV/atom
* volume: 83 Å³ per cell
* crystal system: cubic

CIF file:
```
data_LaBe3Ru
_symmetry_space_group_name_H-M 'P m -3 m'
_symmetry_Int_Tables_number 221
_symmetry_space_group_name_Hall '-P 4 2 3'
_cell_length_a 4.356
_cell_length_b 4.356
_cell_length_c 4.356
_cell_angle_alpha 90.00
_cell_angle_beta 90.00
_cell_angle_gamma 90.00
loop_
_atom_site_label
_atom_site_type_symbol
_atom_site_fract_x
_atom_site_fract_y
_atom_site_fract_z
La1 La 0.000 0.000 0.000
Be1 Be 0.000 0.500 0.500
Ru1 Ru 0.500 0.500 0.500
```



[11]
DFT (GGA-PBE) results for an optimized crystal structure of La4BeRu.

Computed properties:
* calculated density: 6.54 g/cm³
* formation enthalpy at 0 K: 985 meV/atom
* volume: 676 Å³ per cell
* crystal system: cubic

CIF file:
```
data_La4BeRu
_symmetry_space_group_name_H-M 'F -4 3 m'
_symmetry_Int_Tables_number 216
_symmetry_space_group_name_Hall 'F -4 2 3'
_cell_length_a 8.776
_cell_length_b 8.776
_cell_length_c 8.776
_cell_angle_alpha 90.00
_cell_angle_beta 90.00
_cell_angle_gamma 90.00
loop_
_atom_site_label
_atom_site_type_symbol
_atom_site_fract_x
_atom_site_fract_y
_atom_site_fract_z
La1 La 0.124 0.124 0.124
Be1 Be 0.000 0.000 0.500
Ru1 Ru 0.250 0.250 0.750
```



[12]
DFT (GGA-PBE) results for an optimized crystal structure of LaBeRu4.

Computed properties:
* calculated density: 8.84 g/cm³
* formation enthalpy at 0 K: 362 meV/atom
* volume: 415 Å³ per cell
* crystal system: cubic

CIF file:
```
data_LaBeRu4
_symmetry_space_group_name_H-M 'F -4 3 m'
_symmetry_Int_Tables_number 216
_symmetry_space_group_name_Hall 'F -4 2 3'
_cell_length_a 7.457
_cell_length_b 7.457
_cell_length_c 7.457
_cell_angle_alpha 90.00
_cell_angle_beta 90.00
_cell_angle_gamma 90.00
loop_
_atom_site_label
_atom_site_type_symbol
_atom_site_fract_x
_atom_site_fract_y
_atom_site_fract_z
La1 La 0.000 0.000 0.000
Be1 Be 0.250 0.250 0.250
Ru1 Ru 0.124 0.124 0.624
```



[13]
DFT (GGA-PBE) results for an optimized crystal structure of LaBeRu2.

Computed properties:
* calculated density: 8.75 g/cm³
* formation enthalpy at 0 K: 270 meV/atom
* volume: 133 Å³ per cell
* crystal system: orthorhombic

CIF file:
```
data_LaBeRu2
_symmetry_space_group_name_H-M 'I m m 2'
_symmetry_Int_Tables_number 44
_cell_length_a 3.218
_cell_length_b 4.340
_cell_length_c 9.517
_cell_angle_alpha 90.00
_cell_angle_beta 90.00
_cell_angle_gamma 90.00
loop_
_symmetry_equiv_pos_as_xyz
'x,y,z'
'-x,-y,z'
'-x,y,z'
'x,-y,z'
'x+1/2,y+1/2,z+1/2'
'-x+1/2,-y+1/2,z+1/2'
'-x+1/2,y+1/2,z+1/2'
'x+1/2,-y+1/2,z+1/2'
loop_
_atom_site_label
_atom_site_type_symbol
_atom_site_fract_x
_atom_site_fract_y
_atom_site_fract_z
La1 La 0.000 0.000 0.000
Be1 Be 0.000 0.500 0.230
Ru1 Ru 0.000 0.000 0.546
Ru2 Ru 0.000 0.500 0.781
```



[14]
DFT (GGA-PBE) results for an optimized crystal structure of LaBeRu2.

Computed properties:
* calculated density: 8.67 g/cm³
* formation enthalpy at 0 K: 366 meV/atom
* volume: 134 Å³ per cell
* crystal system: tetragonal

CIF file:
```
data_LaBeRu2
_symmetry_space_group_name_H-M 'I -4 m 2'
_symmetry_Int_Tables_number 119
_symmetry_space_group_name_Hall 'I -4 -2'
_cell_length_a 4.091
_cell_length_b 4.091
_cell_length_c 8.013
_cell_angle_alpha 90.00
_cell_angle_beta 90.00
_cell_angle_gamma 90.00
loop_
_atom_site_label
_atom_site_type_symbol
_atom_site_fract_x
_atom_site_fract_y
_atom_site_fract_z
La1 La 0.000 0.000 0.000
Be1 Be 0.000 0.500 0.250
Ru1 Ru 0.000 0.000 0.500
Ru2 Ru 0.000 0.500 0.750
```



[15]
DFT (GGA-PBE) results for an optimized crystal structure of LaBe2Ru.

Computed properties:
* calculated density: 6.28 g/cm³
* formation enthalpy at 0 K: -179 meV/atom
* volume: 136 Å³ per cell
* crystal system: monoclinic
* energy relative to the lowest polymorph listed for this composition: 0.0112 eV per atom

CIF file:
```
data_LaBe2Ru
_symmetry_space_group_name_H-M 'C 1 2/m 1'
_symmetry_Int_Tables_number 12
_cell_length_a 7.649
_cell_length_b 3.565
_cell_length_c 5.244
_cell_angle_alpha 90.00
_cell_angle_beta 107.34
_cell_angle_gamma 90.00
loop_
_symmetry_equiv_pos_as_xyz
'x,y,z'
'-x,-y,-z'
'-x,y,-z'
'x,-y,z'
'x+1/2,y+1/2,z'
'-x+1/2,-y+1/2,-z'
'-x+1/2,y+1/2,-z'
'x+1/2,-y+1/2,z'
loop_
_atom_site_label
_atom_site_type_symbol
_atom_site_fract_x
_atom_site_fract_y
_atom_site_fract_z
La1 La 0.000 0.000 0.000
Be1 Be 0.209 0.000 0.576
Ru1 Ru 0.000 0.500 0.500
```



[16]
DFT (GGA-PBE) results for an optimized crystal structure of LaBeRu2.

Computed properties:
* calculated density: 8.81 g/cm³
* formation enthalpy at 0 K: 295 meV/atom
* volume: 132 Å³ per cell
* crystal system: monoclinic

CIF file:
```
data_LaBeRu2
_symmetry_space_group_name_H-M 'C 1 2/m 1'
_symmetry_Int_Tables_number 12
_cell_length_a 5.931
_cell_length_b 8.617
_cell_length_c 2.972
_cell_angle_alpha 90.00
_cell_angle_beta 119.65
_cell_angle_gamma 90.00
loop_
_symmetry_equiv_pos_as_xyz
'x,y,z'
'-x,-y,-z'
'-x,y,-z'
'x,-y,z'
'x+1/2,y+1/2,z'
'-x+1/2,-y+1/2,-z'
'-x+1/2,y+1/2,-z'
'x+1/2,-y+1/2,z'
loop_
_atom_site_label
_atom_site_type_symbol
_atom_site_fract_x
_atom_site_fract_y
_atom_site_fract_z
La1 La 0.000 0.000 0.000
Be1 Be 0.000 0.500 0.000
Ru1 Ru 0.250 0.250 0.500
```



[17]
DFT (GGA-PBE) results for an optimized crystal structure of LaBe2Ru.

Computed properties:
* calculated density: 6.66 g/cm³
* formation enthalpy at 0 K: 305 meV/atom
* volume: 257 Å³ per cell
* crystal system: cubic
* energy relative to the lowest polymorph listed for this composition: 0.4952 eV per atom

CIF file:
```
data_LaBe2Ru
_symmetry_space_group_name_H-M 'F m -3 m'
_symmetry_Int_Tables_number 225
_symmetry_space_group_name_Hall '-F 4 2 3'
_cell_length_a 6.360
_cell_length_b 6.360
_cell_length_c 6.360
_cell_angle_alpha 90.00
_cell_angle_beta 90.00
_cell_angle_gamma 90.00
loop_
_atom_site_label
_atom_site_type_symbol
_atom_site_fract_x
_atom_site_fract_y
_atom_site_fract_z
La1 La 0.000 0.000 0.000
Be1 Be 0.250 0.250 0.250
Ru1 Ru 0.000 0.000 0.500
```



[18]
DFT (GGA-PBE) results for an optimized crystal structure of LaBe2Ru.

Computed properties:
* calculated density: 6.74 g/cm³
* formation enthalpy at 0 K: 370 meV/atom
* volume: 127 Å³ per cell
* crystal system: orthorhombic
* energy relative to the lowest polymorph listed for this composition: 0.5594 eV per atom

CIF file:
```
data_LaBe2Ru
_symmetry_space_group_name_H-M 'C m m m'
_symmetry_Int_Tables_number 65
_symmetry_space_group_name_Hall '-C 2 2'
_cell_length_a 5.172
_cell_length_b 7.482
_cell_length_c 3.285
_cell_angle_alpha 90.00
_cell_angle_beta 90.00
_cell_angle_gamma 90.00
loop_
_atom_site_label
_atom_site_type_symbol
_atom_site_fract_x
_atom_site_fract_y
_atom_site_fract_z
La1 La 0.000 0.000 0.000
Be1 Be 0.250 0.250 0.500
Ru1 Ru 0.000 0.500 0.000
```



[19]
DFT (GGA-PBE) results for an optimized crystal structure of La2BeRu2.

Computed properties:
* calculated density: 8.00 g/cm³
* formation enthalpy at 0 K: -50 meV/atom
* volume: 203 Å³ per cell
* crystal system: tetragonal

CIF file:
```
data_La2BeRu2
_symmetry_space_group_name_H-M 'P 4/m b m'
_symmetry_Int_Tables_number 127
_symmetry_space_group_name_Hall '-P 4 2ab'
_cell_length_a 6.754
_cell_length_b 6.754
_cell_length_c 4.452
_cell_angle_alpha 90.00
_cell_angle_beta 90.00
_cell_angle_gamma 90.00
loop_
_atom_site_label
_atom_site_type_symbol
_atom_site_fract_x
_atom_site_fract_y
_atom_site_fract_z
La1 La 0.178 0.322 0.000
Be1 Be 0.000 0.000 0.500
Ru1 Ru 0.154 0.654 0.500
```



[20]
DFT (GGA-PBE) results for an optimized crystal structure of LaBe2Ru.

Computed properties:
* calculated density: 6.23 g/cm³
* formation enthalpy at 0 K: -190 meV/atom
* volume: 138 Å³ per cell
* crystal system: monoclinic
* energy relative to the lowest polymorph listed for this composition: 0.0000 eV per atom

CIF file:
```
data_LaBe2Ru
_symmetry_space_group_name_H-M 'C 1 m 1'
_symmetry_Int_Tables_number 8
_cell_length_a 6.782
_cell_length_b 3.914
_cell_length_c 5.635
_cell_angle_alpha 90.00
_cell_angle_beta 113.06
_cell_angle_gamma 90.00
loop_
_symmetry_equiv_pos_as_xyz
'x,y,z'
'x,-y,z'
'x+1/2,y+1/2,z'
'x+1/2,-y+1/2,z'
loop_
_atom_site_label
_atom_site_type_symbol
_atom_site_fract_x
_atom_site_fract_y
_atom_site_fract_z
La1 La 0.000 0.000 0.000
Be1 Be 0.307 0.500 0.438
Be2 Be 0.494 0.000 0.501
Ru1 Ru 0.189 0.000 0.588
```